No. 1
First-principles (PBE-GGA) data for a relaxed structure of BiRu3Se, as listed in the Alexandria database.

abc: 5.0231 5.0231 5.0231
angles: 90.00 90.00 90.00
Last column: nearest neighbours and their distance in Å.
Atoms (fractional coordinates):
Bi: 0.0000 0.0000 0.0000  6 Ru 2.51
Ru: 0.0000 0.0000 0.5000  2 Bi 2.51
Ru: 0.0000 0.5000 0.0000  2 Bi 2.51
Ru: 0.5000 0.0000 0.0000  2 Bi 2.51
Se: 0.5000 0.5000 0.5000  12 Ru 3.55

Output
Formation energy from raw total energies (eV/atom): 2.028
Polymorph energy (0 for the lowest one) (eV per atom): 1.224
Space group: Pm-3m

No. 2
First-principles (PBE-GGA) data for a relaxed structure of Sr2SbRh, as listed in the Alexandria database.

abc: 5.2145 5.2145 5.2145
angles: 60.00 60.00 60.00
Last column: nearest neighbours and their distance in Å.
Atoms (fractional coordinates):
Sr: 0.0000 0.0000 0.0000  4 Rh 3.19, 4 Sr 3.19
Sr: 0.2500 0.2500 0.2500  4 Sb 3.19, 4 Sr 3.19
Sb: 0.5000 0.5000 0.5000  4 Rh 3.19, 4 Sr 3.19
Rh: 0.7500 0.7500 0.7500  4 Sb 3.19, 4 Sr 3.19

Output
Formation energy from raw total energies (eV/atom): -0.366
Space group: F-43m

No. 3
First-principles (PBE-GGA) data for a relaxed structure of CsPb3Au, as listed in the Alexandria database.

abc: 6.3201 6.3201 6.3201
angles: 90.00 90.00 90.00
Last column: nearest neighbours and their distance in Å.
Atoms (fractional coordinates):
Cs: 0.0000 0.0000 0.0000  6 Pb 3.16
Pb: 0.0000 0.0000 0.5000  2 Cs 3.16
Pb: 0.0000 0.5000 0.0000  2 Cs 3.16
Pb: 0.5000 0.0000 0.0000  2 Cs 3.16
Au: 0.5000 0.5000 0.5000  12 Pb 4.47

Output
Formation energy from the elements (eV per atom): 1.48
Polymorph energy (0 for the lowest one) (eV per atom): 1.648
Space group: Pm-3m

No. 4
First-principles (PBE-GGA) data for a relaxed structure of HoMg3S4, as listed in the Alexandria database.

abc: 6.5636 6.5636 3.7078
angles: 90.00 90.00 109.08
Last column: nearest neighbours and their distance in Å.
Atoms (fractional coordinates):
Ho: 0.0000 0.0000 0.0000  6 S 2.73
Mg: 0.0000 0.5000 0.5000  6 S 2.66-2.68
Mg: 0.5000 0.0000 0.5000  6 S 2.66-2.68
Mg: 0.5000 0.5000 0.0000  6 S 2.58-2.62
S: 0.2553 0.7447 0.0000  5 Mg 2.62-2.66, 1 Ho 2.73
S: 0.2638 0.2638 0.5000  4 Mg 2.58-2.68, 2 Ho 2.73
S: 0.7362 0.7362 0.5000  4 Mg 2.58-2.68, 2 Ho 2.73
S: 0.7447 0.2553 0.0000  5 Mg 2.62-2.66, 1 Ho 2.73

Output
Formation energy from raw total energies (eV/atom): -1.470
Space group: Cmmm

No. 5
First-principles (PBE-GGA) data for a relaxed structure of ReBAu3, as listed in the Alexandria database.

abc: 5.0515 5.0515 5.0515
angles: 90.00 90.00 90.00
Last column: nearest neighbours and their distance in Å.
Atoms (fractional coordinates):
Re: 0.0000 0.0000 0.0000  6 Au 2.53
B: 0.5000 0.5000 0.5000  12 Au 3.57
Au: 0.0000 0.0000 0.5000  2 Re 2.53
Au: 0.0000 0.5000 0.0000  2 Re 2.53
Au: 0.5000 0.0000 0.0000  2 Re 2.53

Output
Formation energy from the elements (eV per atom): 2.11
Polymorph energy (0 for the lowest one) (eV per atom): 1.078
Space group: Pm-3m

No. 6
First-principles (PBE-GGA) data for a relaxed structure of Co7Ni6, as listed in the Alexandria database.

abc: 8.5130 8.5130 8.5130
angles: 31.35 31.35 31.35
Last column: nearest neighbours and their distance in Å.
Atoms (fractional coordinates):
Co: 0.0000 0.0000 0.0000  6 Co 2.34
Co: 0.0902 0.0902 0.5834  5 Co 2.27-2.34, 3 Ni 2.48-2.50
Co: 0.0902 0.5834 0.0902  5 Co 2.27-2.34, 3 Ni 2.48-2.50
Co: 0.4166 0.9098 0.9098  5 Co 2.27-2.34, 3 Ni 2.48-2.50
Co: 0.5834 0.0902 0.0902  5 Co 2.27-2.34, 3 Ni 2.48-2.50
Co: 0.9098 0.4166 0.9098  5 Co 2.27-2.34, 3 Ni 2.48-2.50
Co: 0.9098 0.9098 0.4166  5 Co 2.27-2.34, 3 Ni 2.48-2.50
Ni: 0.1645 0.1645 0.1645  6 Co 2.48-2.55, 3 Ni 2.66
Ni: 0.3497 0.3497 0.3497  4 Ni 2.50-2.77, 12 Co 2.65-2.75
Ni: 0.4529 0.4529 0.4529  2 Ni 2.28-2.50, 6 Co 2.50
Ni: 0.5471 0.5471 0.5471  2 Ni 2.28-2.50, 6 Co 2.50
Ni: 0.6503 0.6503 0.6503  4 Ni 2.50-2.77, 12 Co 2.65-2.75
Ni: 0.8355 0.8355 0.8355  6 Co 2.48-2.55, 3 Ni 2.66

Output
Formation energy from the elements (eV per atom): 0.14
Space group: R-3m